Compound: GeS2Cl
Source: Alexandria via LeMat-Bulk
Functional: PBE
Structure: optimized geometry

Computed properties:
raw total energy: -3.0393 eV per atom
formation energy from raw total energies: 2.6 eV per formula unit
size of the total moment: 0.00 μB/cell
symmetry: Fm-3m (225)

a b c (Å): 6.5892 6.5892 6.5892
angles (deg): 90.00 90.00 90.00
Last column: nearest neighbours and their distance in Å.
Atoms (fractional coordinates):
Ge (0.0000, 0.0000, 0.0000)  8 S 2.85
Ge (0.0000, 0.5000, 0.5000)  8 S 2.85
Ge (0.5000, 0.0000, 0.5000)  8 S 2.85
Ge (0.5000, 0.5000, 0.0000)  8 S 2.85
S (0.2500, 0.2500, 0.2500)  4 Ge 2.85, 4 Cl 2.85
S (0.2500, 0.2500, 0.7500)  4 Ge 2.85, 4 Cl 2.85
S (0.2500, 0.7500, 0.2500)  4 Ge 2.85, 4 Cl 2.85
S (0.2500, 0.7500, 0.7500)  4 Ge 2.85, 4 Cl 2.85
S (0.7500, 0.2500, 0.2500)  4 Ge 2.85, 4 Cl 2.85
S (0.7500, 0.2500, 0.7500)  4 Ge 2.85, 4 Cl 2.85
S (0.7500, 0.7500, 0.2500)  4 Ge 2.85, 4 Cl 2.85
S (0.7500, 0.7500, 0.7500)  4 Ge 2.85, 4 Cl 2.85
Cl (0.0000, 0.0000, 0.5000)  8 S 2.85
Cl (0.0000, 0.5000, 0.0000)  8 S 2.85
Cl (0.5000, 0.0000, 0.0000)  8 S 2.85
Cl (0.5000, 0.5000, 0.5000)  8 S 2.85